First-principles (SCAN) data for a PBEsol-optimized structure of ZrSc2Mo, as listed in Alexandria.

Summary:
Density ... 5.8 g/cm³
Calculated volume ... 79.5 Å³ per cell
ΔE to the lowest computed polymorph ... 0.1564 eV per atom
Symmetry ... No. 123
DOS at the Fermi energy ... 4.33 states/eV/f.u.
Formation energy ... 0.2294 eV/atom

```
4
Lattice="2.8673 0.0000 0.0000 0.0000 2.8673 0.0000 0.0000 0.0000 9.6724" Properties=species:S:1:pos:R:3 pbc="T T T"
Zr 0.0000 0.0000 0.0000
Sc 1.4336 1.4336 2.6398
Sc 1.4336 1.4336 7.0326
Mo 0.0000 0.0000 4.8362
```